Material: As2Se
Method: DFT, PBE-GGA
State: optimized geometry

a = 8.0990 Å, b = 8.0990 Å, c = 3.6484 Å
α = 90.00°, β = 90.00°, γ = 120.00°
Space group P-62m (No. 189)
Unique sites:
1 As 0.0000 0.2771 0.0000
2 As 0.0000 0.5026 0.5000
3 Se 0.0000 0.0000 0.5000
4 Se 0.3333 0.6667 0.0000

Values from the calculation:
Energy above the most stable polymorph in this dataset ... 0.351 eV/atom
Total DFT energy (no corrections) ... -0.14232 hartree per atom
Formation energy from raw total energies ... 0.389 eV/atom
Magnetic moment ... 0.00 μB per formula unit